Entry from the Alexandria database: an optimized crystal structure of Ni2PdPb (PBE-GGA).

The structure in CIF format:
```
data_Ni2PdPb
_space_group_name_H-M_alt 'P 1'
_space_group_IT_number 1
_cell_length_a 3.8806
_cell_length_b 3.8806
_cell_length_c 9.5058
_cell_angle_alpha 78.22
_cell_angle_beta 78.22
_cell_angle_gamma 90.00
loop_
_space_group_symop_operation_xyz
'x,y,z'
loop_
_atom_site_label
_atom_site_fract_x
_atom_site_fract_y
_atom_site_fract_z
Ni1 0.8750 0.8292 0.7500
Pd1 0.5000 0.5000 0.0000
Ni2 0.3750 0.4208 0.7500
Ni3 0.5792 0.1250 0.2500
Pb1 0.7500 0.2500 0.5000
Pd2 0.2500 0.7500 0.5000
Ni4 0.1708 0.6250 0.2500
Pb2 0.0000 0.0000 0.0000
```

## Properties
Space group: I-42d (122)
Crystal system: tetragonal
DFT formation energy: 33.4 kJ per mole of atoms